1.
# TeAsI2O

TeAsI2O after structural relaxation (GGA-PBEsol, the Alexandria database).

Summary:
- Crystal system: tetragonal
- Spin magnetization: 0.0 μB/cell
- Formation energy from raw total energies: 282 meV/atom
- Final energy: -16.00 eV/cell

a b c (Å): 3.978 5.926 5.926
angles (deg): 90.00 90.00 90.00
Fractional positions:
I: 0.000 0.000 0.500
I: 0.000 0.500 0.000
As: 0.500 0.500 0.500
Te: 0.000 0.000 0.000
O: 0.500 0.000 0.000

=====

2.
# ZrAsIO2

ZrAsIO2 after structural relaxation (GGA-PBEsol, the Alexandria database).

Summary:
- Crystal system: tetragonal
- Spin magnetization: 1.2 μB/cell
- Formation energy from raw total energies: -1202 meV/atom
- Final energy: -32.47 eV/cell

a b c (Å): 4.075 4.075 6.129
angles (deg): 90.00 90.00 90.00
Fractional positions:
I: 0.000 0.000 0.500
As: 0.500 0.500 0.500
O: 0.000 0.500 0.000
O: 0.500 0.000 0.000
Zr: 0.000 0.000 0.000

=====

3.
# AsOsI2

AsOsI2 after structural relaxation (GGA-PBEsol, the Alexandria database).

Summary:
- Crystal system: cubic
- Spin magnetization: 0.0 μB/cell
- Formation energy from raw total energies: 1327 meV/atom
- Final energy: -15.55 eV/cell

a b c (Å): 4.897 4.897 4.897
angles (deg): 60.00 60.00 60.00
Fractional positions:
I: 0.250 0.250 0.250
I: 0.750 0.750 0.750
As: 0.000 0.000 0.000
Os: 0.500 0.500 0.500

=====

4.
# As2Pb2I

As2Pb2I after structural relaxation (GGA-PBEsol, the Alexandria database).

Summary:
- Crystal system: tetragonal
- Spin magnetization: 0.0 μB/cell
- Formation energy from raw total energies: -115 meV/atom
- Final energy: -20.55 eV/cell

a b c (Å): 4.226 4.226 8.590
angles (deg): 104.24 104.24 90.00
Fractional positions:
Pb: 0.380 0.380 0.760
Pb: 0.620 0.620 0.240
I: 0.000 0.000 0.000
As: 0.250 0.750 0.500
As: 0.750 0.250 0.500

=====

5.
# AsPb2S3I

AsPb2S3I after structural relaxation (GGA-PBEsol, the Alexandria database).

Summary:
- Crystal system: orthorhombic
- Spin magnetization: 0.0 μB/cell
- Formation energy from raw total energies: -415 meV/atom
- Final energy: -123.72 eV/cell

a b c (Å): 6.631 9.396 11.602
angles (deg): 90.00 90.00 90.00
Fractional positions:
As: 0.250 0.035 0.078
As: 0.750 0.965 0.922
As: 0.750 0.535 0.422
As: 0.250 0.465 0.578
Pb: 0.250 0.803 0.371
Pb: 0.750 0.197 0.629
Pb: 0.750 0.303 0.129
Pb: 0.250 0.697 0.871
Pb: 0.250 0.286 0.324
Pb: 0.750 0.714 0.676
Pb: 0.750 0.786 0.176
Pb: 0.250 0.214 0.824
S: 0.000 0.080 0.206
S: 0.000 0.920 0.794
S: 0.000 0.580 0.294
S: 0.500 0.920 0.794
S: 0.000 0.420 0.706
S: 0.500 0.080 0.206
S: 0.500 0.420 0.706
S: 0.500 0.580 0.294
S: 0.250 0.797 0.098
S: 0.750 0.203 0.902
S: 0.750 0.297 0.402
S: 0.250 0.703 0.598
I: 0.250 0.402 0.050
I: 0.750 0.598 0.950
I: 0.750 0.902 0.450
I: 0.250 0.098 0.550

=====

6.
# SbAsPbI2

SbAsPbI2 after structural relaxation (GGA-PBEsol, the Alexandria database).

Summary:
- Crystal system: tetragonal
- Spin magnetization: 0.0 μB/cell
- Formation energy from raw total energies: 285 meV/atom
- Final energy: -15.77 eV/cell

a b c (Å): 5.510 5.510 5.507
angles (deg): 90.00 90.00 90.00
Fractional positions:
Pb: 0.500 0.500 0.500
I: 0.000 0.500 0.000
I: 0.500 0.000 0.000
As: 0.000 0.000 0.000
Sb: 0.000 0.000 0.500

=====

7.
# TeAs2PbI

TeAs2PbI after structural relaxation (GGA-PBEsol, the Alexandria database).

Summary:
- Crystal system: tetragonal
- Spin magnetization: 0.0 μB/cell
- Formation energy from raw total energies: 668 meV/atom
- Final energy: -16.16 eV/cell

a b c (Å): 5.242 5.242 6.186
angles (deg): 90.00 90.00 90.00
Fractional positions:
Pb: 0.000 0.000 0.500
I: 0.500 0.500 0.500
As: 0.000 0.500 0.000
As: 0.500 0.000 0.000
Te: 0.000 0.000 0.000

=====

8.
# TlAsPbI2

TlAsPbI2 after structural relaxation (GGA-PBEsol, the Alexandria database).

Summary:
- Crystal system: tetragonal
- Spin magnetization: 1.4 μB/cell
- Formation energy from raw total energies: 137 meV/atom
- Final energy: -14.58 eV/cell

a b c (Å): 5.402 6.191 6.191
angles (deg): 90.00 90.00 90.00
Fractional positions:
Pb: 0.000 0.000 0.000
I: 0.000 0.000 0.500
I: 0.000 0.500 0.000
Tl: 0.500 0.500 0.500
As: 0.500 0.000 0.000